The following is a DFT calculation (GGA-PBE) of an optimized crystal structure of FeCoCuNi.

Output
total energy = -6.306 eV/atom
ΔH_f (0 K) = 1.28 kcal/mol of atoms

The structure in POSCAR format:
```
FeCoCuNi
1.0
0.0000 2.8353 2.8353
2.8353 0.0000 2.8353
2.8353 2.8353 0.0000
Fe Co Cu Ni
1 1 1 1
Direct
0.0000 0.0000 0.0000
0.2500 0.2500 0.2500
0.5000 0.5000 0.5000
0.7500 0.7500 0.7500
```